20
Lattice="7.8112 0.0000 0.0000 0.0000 7.9690 0.0000 0.0000 0.0000 10.2315" Properties=species:S:1:pos:R:3 comment="Rb2Cd6InPt GGA-PBE optimized geometry" delta_e_f_mev_per_atom=-120 m_tot_mub_per_atom=0.00 pbc="T T T"
Rb 0.0000 2.2403 8.1409
Cd 0.0000 6.3904 7.6331
Cd 1.7724 5.0137 0.0000
Cd 2.1332 2.9553 5.1157
Cd 6.3676 7.8348 5.1157
Cd 2.4620 0.1342 0.0000
Cd 5.3492 0.1342 0.0000
Cd 0.0000 6.3904 2.5984
Rb 3.9056 5.7287 3.0251
In 0.0000 4.9161 5.1157
In 3.9056 3.0530 0.0000
Cd 5.6780 2.9553 5.1157
Cd 3.9056 1.5786 7.7141
Pt 3.9056 0.9258 5.1157
Rb 0.0000 2.2403 2.0906
Rb 3.9056 5.7287 7.2063
Cd 1.4436 7.8348 5.1157
Cd 3.9056 1.5786 2.5174
Pt 0.0000 7.0433 0.0000
Cd 6.0389 5.0137 0.0000

***

20
Lattice="3.4180 0.0000 0.0000 0.0000 11.4134 0.0000 0.0000 0.0000 11.4134" Properties=species:S:1:pos:R:3 comment="Sc5CdIn2Pt2 GGA-PBE optimized geometry" delta_e_f_mev_per_atom=-652 m_tot_mub_per_atom=0.00 pbc="T T T"
Cd 0.0000 5.7067 5.7067
Sc 1.7090 0.8238 9.1020
Sc 1.7090 10.5897 2.3114
Sc 1.7090 6.5305 8.0181
Pt 0.0000 9.9341 4.2274
In 0.0000 9.4451 7.6750
Sc 1.7090 8.0181 4.8830
Sc 1.7090 9.1020 10.5897
Pt 0.0000 4.2274 1.4793
Sc 1.7090 0.0000 5.7067
In 0.0000 3.7384 9.4451
Pt 0.0000 1.4793 7.1860
Sc 1.7090 5.7067 0.0000
Cd 0.0000 0.0000 0.0000
In 0.0000 7.6750 1.9683
Sc 1.7090 3.3953 6.5305
Pt 0.0000 7.1860 9.9341
In 0.0000 1.9683 3.7384
Sc 1.7090 4.8830 3.3953
Sc 1.7090 2.3114 0.8238

***

10
Lattice="-2.5829 -2.6250 2.8814 -0.3301 -3.2968 -3.2995 9.0850 -4.7391 3.8263" Properties=species:S:1:pos:R:3 comment="Sr2CdIn3Pt4 GGA-PBE optimized geometry" delta_e_f_mev_per_atom=-650 m_tot_mub_per_atom=0.00 pbc="T T T"
In 0.9568 -2.2336 -1.1772
Pt 0.0000 0.0000 0.0000
In 6.6717 -5.4664 4.7945
Cd 3.0860 -5.3305 1.7041
Sr 0.8821 -2.4463 2.3561
Pt -1.4565 -2.9609 -0.2090
Sr 6.7464 -5.2537 1.2612
In 4.5425 -2.3696 1.9132
Pt 3.1503 -3.3778 -0.2534
Pt 4.4783 -4.3222 3.8707

***

20
Lattice="7.9843 0.0000 0.0000 0.0000 7.1929 0.0000 0.0000 0.0000 9.8843" Properties=species:S:1:pos:R:3 comment="Sr2Cd6InPt GGA-PBE optimized geometry" delta_e_f_mev_per_atom=-268 m_tot_mub_per_atom=0.00 pbc="T T T"
Cd 1.5431 4.5080 0.0000
Pt 0.0000 6.8522 0.0000
Cd 3.9921 1.5482 7.4198
Cd 2.5986 0.2247 0.0000
Pt 3.9921 0.3407 4.9421
Cd 0.0000 5.6448 2.4777
Sr 3.9921 5.2594 2.8150
In 0.0000 4.0978 4.9421
Cd 2.4490 2.6849 4.9421
Cd 5.5352 2.6849 4.9421
Cd 1.3935 6.9682 4.9421
Cd 6.4412 4.5080 0.0000
Cd 3.9921 1.5482 2.4645
Cd 0.0000 5.6448 7.4066
In 3.9921 3.0951 0.0000
Cd 5.3856 0.2247 0.0000
Cd 6.5908 6.9682 4.9421
Sr 3.9921 5.2594 7.0693
Sr 0.0000 1.9335 2.1272
Sr 0.0000 1.9335 7.7571

***

10
Lattice="4.4681 0.0000 0.0000 0.0000 4.4681 0.0000 0.0000 0.0000 11.7271" Properties=species:S:1:pos:R:3 comment="Sr2Cd3InPt4 GGA-PBE optimized geometry" delta_e_f_mev_per_atom=-527 m_tot_mub_per_atom=0.00 pbc="T T T"
Cd 0.0000 2.2341 1.5676
Cd 2.2341 0.0000 10.1595
In 2.2341 2.2341 5.8636
Pt 2.2341 0.0000 7.4893
Pt 0.0000 0.0000 0.0000
Sr 2.2341 0.0000 2.7979
Pt 2.2341 2.2341 0.0000
Cd 0.0000 0.0000 5.8636
Pt 0.0000 2.2341 4.2378
Sr 0.0000 2.2341 8.9292

***

20
Lattice="3.9065 0.0000 0.0000 0.0000 10.3594 0.0000 0.0000 0.0000 10.3594" Properties=species:S:1:pos:R:3 comment="Sr2Cd2InPt5 GGA-PBE optimized geometry" delta_e_f_mev_per_atom=-481 m_tot_mub_per_atom=0.00 pbc="T T T"
Sr 0.0000 3.3928 8.5724
Cd 0.0000 3.8508 1.3289
Pt 1.9533 5.7605 7.1991
Pt 1.9533 0.5808 8.3400
Pt 1.9533 2.0194 0.5808
Sr 0.0000 6.9666 1.7869
Sr 0.0000 1.7869 3.3928
Pt 1.9533 3.1603 5.7605
Pt 1.9533 9.7786 2.0194
Sr 0.0000 8.5724 6.9666
Cd 0.0000 9.0305 3.8508
Cd 0.0000 1.3289 6.5086
Cd 0.0000 6.5086 9.0305
In 0.0000 0.0000 0.0000
Pt 1.9533 7.1991 4.5989
Pt 1.9533 0.0000 5.1797
Pt 1.9533 5.1797 0.0000
Pt 1.9533 4.5989 3.1603
Pt 1.9533 8.3400 9.7786
In 0.0000 5.1797 5.1797

***

Q: Which calculated density values were calculated for the entries above? A: 6.0; 7.1; 9.8; 6.8; 10.0; 11.8, in g/cm3.